Material: Li3V2P3O12
Method: DFT, PBE+U
State: relaxed

Geometry as POSCAR:
```
Li3V2P3O12
1.0
-5.9144 5.9144 5.9144
5.9144 -5.9144 5.9144
5.9144 5.9144 -5.9144
Li V P O
12 8 12 48
direct
0.1250 0.2500 0.3750
0.1250 0.3750 0.7500
0.2500 0.3750 0.1250
0.2500 0.8750 0.6250
0.3750 0.1250 0.2500
0.3750 0.7500 0.1250
0.6250 0.2500 0.8750
0.6250 0.8750 0.7500
0.7500 0.1250 0.3750
0.7500 0.6250 0.8750
0.8750 0.6250 0.2500
0.8750 0.7500 0.6250
0.0000 0.0000 0.0000
0.0000 0.0000 0.5000
0.0000 0.5000 0.0000
0.0000 0.5000 0.5000
0.5000 0.0000 0.0000
0.5000 0.0000 0.5000
0.5000 0.5000 0.0000
0.5000 0.5000 0.5000
0.1250 0.7500 0.8750
0.1250 0.8750 0.2500
0.2500 0.1250 0.8750
0.2500 0.6250 0.3750
0.3750 0.2500 0.6250
0.3750 0.6250 0.7500
0.6250 0.3750 0.2500
0.6250 0.7500 0.3750
0.7500 0.3750 0.6250
0.7500 0.8750 0.1250
0.8750 0.1250 0.7500
0.8750 0.2500 0.1250
0.0055 0.2074 0.1164
0.0055 0.2982 0.8891
0.0909 0.7074 0.7018
0.0909 0.8836 0.3891
0.1109 0.6164 0.4091
0.1109 0.9945 0.7018
0.1164 0.0055 0.2074
0.1164 0.6109 0.9091
0.2018 0.2074 0.5909
0.2018 0.4945 0.6109
0.2074 0.1164 0.0055
0.2074 0.5909 0.2018
0.2926 0.2982 0.9091
0.2926 0.4945 0.3836
0.2982 0.8891 0.0055
0.2982 0.9091 0.2926
0.3836 0.2926 0.4945
0.3836 0.5909 0.8891
0.3891 0.0909 0.8836
0.3891 0.7982 0.5055
0.4091 0.1109 0.6164
0.4091 0.7982 0.7926
0.4945 0.3836 0.2926
0.4945 0.6109 0.2018
0.5055 0.3891 0.7982
0.5055 0.6164 0.7074
0.5909 0.2018 0.2074
0.5909 0.8891 0.3836
0.6109 0.2018 0.4945
0.6109 0.9091 0.1164
0.6164 0.4091 0.1109
0.6164 0.7074 0.5055
0.7018 0.0909 0.7074
0.7018 0.1109 0.9945
0.7074 0.5055 0.6164
0.7074 0.7018 0.0909
0.7926 0.4091 0.7982
0.7926 0.8836 0.9945
0.7982 0.5055 0.3891
0.7982 0.7926 0.4091
0.8836 0.3891 0.0909
0.8836 0.9945 0.7926
0.8891 0.0055 0.2982
0.8891 0.3836 0.5909
0.9091 0.1164 0.6109
0.9091 0.2926 0.2982
0.9945 0.7018 0.1109
0.9945 0.7926 0.8836
```

Properties
The calculation puts the polymorph energy (0 for the lowest one) at 8.6 kJ per mole of atoms.